Si2HIr: optimized geometry, GGA-PBE.

Lattice parameters (Å, degrees): 4.0796 4.0796 4.0796 60.00 60.00 60.00
Element x y z (fractional)
Si (0.2500, 0.2500, 0.2500)
Si (0.7500, 0.7500, 0.7500)
H (0.0000, 0.0000, 0.0000)
Ir (0.5000, 0.5000, 0.5000)

Results
Energy relative to the lowest polymorph listed for this composition, meV per atom: 0.0
Symmetry: Fm-3m, No. 225
Raw total energy, eV/atom: -5.584
Size of the total moment, μB/f.u.: 0.00



Y2MgOs: optimized geometry, GGA-PBE.

Lattice parameters (Å, degrees): 6.4614 6.4614 6.4614 149.33 134.85 55.57
Element x y z (fractional)
Y (0.0000, 0.0000, 0.0000)
Y (0.6999, 0.1999, 0.5000)
Mg (0.3147, 0.8147, 0.5000)
Os (0.5021, 0.5021, 0.0000)

Results
Formation enthalpy at 0 K, meV/atom: -45.1
Symmetry: Imm2, No. 44
Raw total energy, eV/atom: -6.483
Size of the total moment, μB/f.u.: 0.00



What is the raw total energy in the first record? -5.584 eV/atom



Which of these has the highest raw total energy? Si2HIr



Number 2 is which compound? Y2MgOs